Entry 1:
{"formula": "MgPt2", "functional": "GGA-PBE", "state": "optimized geometry", "final_energy_ev_per_atom": -5.2328, "vol_a3_per_cell": 94.7, "magnetic_moment_mub_per_atom": 0.000, "e_form_mev_per_atom": -674.0, "cell": [[4.386, -2.015, 0.000], [4.386, 2.015, 0.000], [-1.567, 0.000, 5.356]], "species": ["Mg", "Mg", "Pt", "Pt", "Pt", "Pt"], "fractional_positions": [[0.156, 0.156, 0.318], [0.844, 0.844, 0.682], [0.171, 0.171, 0.828], [0.500, 0.500, 0.000], [0.500, 0.500, 0.500], [0.829, 0.829, 0.172]]}

Entry 2:
{"formula": "MgPt", "functional": "GGA-PBE", "state": "optimized geometry", "final_energy_ev_per_atom": -3.6977, "vol_a3_per_cell": 51.7, "magnetic_moment_mub_per_atom": 0.000, "e_form_mev_per_atom": 120.0, "cell": [[0.000, 2.956, 2.956], [2.956, 0.000, 2.956], [2.956, 2.956, 0.000]], "species": ["Mg", "Pt"], "fractional_positions": [[0.000, 0.000, 0.000], [0.750, 0.750, 0.750]]}

Entry 3:
{"formula": "MgPt2", "functional": "GGA-PBE", "state": "optimized geometry", "final_energy_ev_per_atom": -4.8985, "vol_a3_per_cell": 146.6, "magnetic_moment_mub_per_atom": 0.000, "e_form_mev_per_atom": -339.7, "cell": [[6.683, 0.000, 0.000], [-3.341, 5.787, 0.000], [0.000, 0.000, 3.790]], "species": ["Mg", "Mg", "Mg", "Pt", "Pt", "Pt", "Pt", "Pt", "Pt"], "fractional_positions": [[0.000, 0.000, 0.000], [0.333, 0.667, 0.500], [0.667, 0.333, 0.500], [0.000, 0.254, 0.500], [0.000, 0.594, 0.000], [0.254, 0.000, 0.500], [0.406, 0.406, 0.000], [0.594, 0.000, 0.000], [0.746, 0.746, 0.500]]}

Entry 4:
{"formula": "Mg3Pt", "functional": "GGA-PBE", "state": "optimized geometry", "final_energy_ev_per_atom": -2.9465, "vol_a3_per_cell": 129.9, "magnetic_moment_mub_per_atom": 0.000, "e_form_mev_per_atom": -240.3, "cell": [[5.065, 0.000, 0.000], [0.000, 5.065, 0.000], [0.000, 0.000, 5.065]], "species": ["Mg", "Mg", "Mg", "Pt"], "fractional_positions": [[0.000, 0.000, 0.500], [0.000, 0.500, 0.000], [0.500, 0.000, 0.000], [0.000, 0.000, 0.000]]}

Entry 5:
{"formula": "Mg3Pt4", "functional": "GGA-PBE", "state": "optimized geometry", "final_energy_ev_per_atom": -4.2960, "vol_a3_per_cell": 115.8, "magnetic_moment_mub_per_atom": 0.000, "e_form_mev_per_atom": -160.7, "cell": [[5.157, 0.000, 0.000], [-2.579, 4.466, 0.000], [0.000, 0.000, 5.029]], "species": ["Mg", "Mg", "Mg", "Pt", "Pt", "Pt", "Pt"], "fractional_positions": [[0.000, 0.500, 0.000], [0.500, 0.000, 0.000], [0.500, 0.500, 0.000], [0.000, 0.000, 0.254], [0.000, 0.000, 0.746], [0.333, 0.667, 0.500], [0.667, 0.333, 0.500]]}

Entry 6:
{"formula": "Mg3Pt", "functional": "GGA-PBE", "state": "optimized geometry", "final_energy_ev_per_atom": -3.0517, "vol_a3_per_cell": 72.4, "magnetic_moment_mub_per_atom": 0.000, "e_form_mev_per_atom": -345.6, "cell": [[4.617, 2.666, 0.980], [-4.617, 2.666, 0.980], [0.000, -5.331, 0.980]], "species": ["Mg", "Mg", "Mg", "Pt"], "fractional_positions": [[0.000, 0.500, 0.500], [0.500, 0.000, 0.500], [0.500, 0.500, 0.000], [0.000, 0.000, 0.000]]}

Entry 7:
{"formula": "MgPt", "functional": "GGA-PBE", "state": "optimized geometry", "final_energy_ev_per_atom": -4.2746, "vol_a3_per_cell": 69.7, "magnetic_moment_mub_per_atom": 0.000, "e_form_mev_per_atom": -456.9, "cell": [[2.910, 0.000, 0.000], [0.000, 2.910, 0.000], [0.000, 0.000, 8.227]], "species": ["Mg", "Mg", "Pt", "Pt"], "fractional_positions": [[0.250, 0.250, 0.163], [0.750, 0.750, 0.837], [0.250, 0.250, 0.624], [0.750, 0.750, 0.376]]}

Entry 8:
{"formula": "MgPt", "functional": "GGA-PBE", "state": "optimized geometry", "final_energy_ev_per_atom": -4.5430, "vol_a3_per_cell": 98.4, "magnetic_moment_mub_per_atom": 0.000, "e_form_mev_per_atom": -725.3, "cell": [[4.983, -1.472, 0.000], [4.983, 1.472, 0.000], [-2.257, 0.000, 6.710]], "species": ["Mg", "Mg", "Mg", "Pt", "Pt", "Pt"], "fractional_positions": [[0.000, 0.000, 0.000], [0.051, 0.051, 0.611], [0.721, 0.721, 0.346], [0.335, 0.335, 0.682], [0.433, 0.433, 0.276], [0.714, 0.714, 0.948]]}

Entry 9:
{"formula": "Mg5Pt", "functional": "GGA-PBE", "state": "optimized geometry", "final_energy_ev_per_atom": -2.6696, "vol_a3_per_cell": 252.9, "magnetic_moment_mub_per_atom": 0.000, "e_form_mev_per_atom": -333.9, "cell": [[3.449, 0.000, 0.000], [0.000, 8.544, 0.000], [-1.691, 0.000, 8.583]], "species": ["Mg", "Mg", "Mg", "Mg", "Mg", "Mg", "Mg", "Mg", "Mg", "Mg", "Pt", "Pt"], "fractional_positions": [[0.000, 0.000, 0.000], [0.000, 0.500, 0.000], [0.185, 0.048, 0.368], [0.185, 0.452, 0.368], [0.374, 0.250, 0.754], [0.419, 0.750, 0.841], [0.581, 0.250, 0.159], [0.626, 0.750, 0.246], [0.815, 0.548, 0.632], [0.815, 0.952, 0.632], [0.248, 0.750, 0.494], [0.752, 0.250, 0.506]]}

Entry 10:
{"formula": "Mg5Pt", "functional": "GGA-PBE", "state": "optimized geometry", "final_energy_ev_per_atom": -2.6094, "vol_a3_per_cell": 119.3, "magnetic_moment_mub_per_atom": 0.000, "e_form_mev_per_atom": -273.7, "cell": [[4.826, 0.000, 0.000], [0.000, 1.527, 8.091], [0.000, -1.527, 8.091]], "species": ["Mg", "Mg", "Mg", "Mg", "Mg", "Pt"], "fractional_positions": [[0.000, 0.000, 0.000], [0.000, 0.295, 0.295], [0.500, 0.099, 0.099], [0.500, 0.420, 0.420], [0.500, 0.751, 0.751], [0.000, 0.649, 0.649]]}

Entry 11:
{"formula": "MgPt3", "functional": "GGA-PBE", "state": "optimized geometry", "final_energy_ev_per_atom": -5.3244, "vol_a3_per_cell": 63.9, "magnetic_moment_mub_per_atom": 0.000, "e_form_mev_per_atom": -395.2, "cell": [[0.000, 3.172, 3.172], [3.172, 0.000, 3.172], [3.172, 3.172, 0.000]], "species": ["Mg", "Pt", "Pt", "Pt"], "fractional_positions": [[0.000, 0.000, 0.000], [0.250, 0.250, 0.250], [0.500, 0.500, 0.500], [0.750, 0.750, 0.750]]}

Entry 12:
{"formula": "Mg2Pt", "functional": "GGA-PBE", "state": "optimized geometry", "final_energy_ev_per_atom": -3.6780, "vol_a3_per_cell": 207.0, "magnetic_moment_mub_per_atom": 0.000, "e_form_mev_per_atom": -601.3, "cell": [[-2.019, 2.019, 12.695], [2.019, -2.019, 12.695], [2.019, 2.019, -12.695]], "species": ["Mg", "Mg", "Mg", "Mg", "Mg", "Mg", "Mg", "Mg", "Pt", "Pt", "Pt", "Pt"], "fractional_positions": [[0.124, 0.374, 0.750], [0.288, 0.538, 0.750], [0.374, 0.124, 0.250], [0.462, 0.712, 0.750], [0.538, 0.288, 0.250], [0.626, 0.876, 0.750], [0.712, 0.462, 0.250], [0.876, 0.626, 0.250], [0.045, 0.795, 0.250], [0.205, 0.955, 0.250], [0.795, 0.045, 0.750], [0.955, 0.205, 0.750]]}